1.
5
Lattice="-0.615 -2.442 5.080 0.671 -5.106 -2.373 5.597 0.344 0.843" Properties=species:S:1:pos:R:3 comment="Y3PbW | Alexandria via LeMat-Bulk | PBE-GGA | optimized geometry" magmom_total_mub_per_fu=5.16 delta_e_f_ev_per_atom=1.31 crystal_system=cubic rho_g_cm3=5.99 pbc="T T T"
W 2.827 -3.602 1.775
Y 0.336 -2.553 -1.187
Y 2.798 0.172 0.421
Y -0.307 -1.221 2.540
Pb 0.000 0.000 0.000

2.
4
Lattice="3.009 0.020 0.000 -0.942 2.858 0.000 0.000 0.000 9.656" Properties=species:S:1:pos:R:3 comment="YPbW2 | Alexandria via LeMat-Bulk | PBE-GGA | optimized geometry" magmom_total_mub_per_fu=0.00 delta_e_f_ev_per_atom=0.93 crystal_system=orthorhombic rho_g_cm3=13.24 pbc="T T T"
Pb 1.034 1.439 7.242
W 0.000 0.000 4.902
W 0.000 0.000 9.582
Y 1.034 1.439 2.414

3.
4
Lattice="-0.445 4.062 -3.081 0.593 -0.544 -5.054 -4.042 0.422 -3.111" Properties=species:S:1:pos:R:3 comment="Y2PbW | Alexandria via LeMat-Bulk | PBE-GGA | optimized geometry" magmom_total_mub_per_fu=1.94 delta_e_f_ev_per_atom=0.43 crystal_system=cubic rho_g_cm3=9.96 pbc="T T T"
Y -0.973 0.985 -2.812
Y 0.000 0.000 0.000
W -2.920 2.955 -8.435
Pb -1.947 1.970 -5.623

4.
4
Lattice="-0.445 -5.218 -0.318 0.519 -4.048 3.297 -4.928 -1.420 1.773" Properties=species:S:1:pos:R:3 comment="YPb2W | Alexandria via LeMat-Bulk | PBE-GGA | optimized geometry" magmom_total_mub_per_fu=0.00 delta_e_f_ev_per_atom=0.42 crystal_system=monoclinic rho_g_cm3=11.73 pbc="T T T"
Y -3.640 -8.015 3.564
Pb -2.243 -5.437 2.357
Pb -0.109 -9.173 2.997
W -1.213 -2.672 1.188

5.
4
Lattice="9.935 -0.008 -0.004 9.356 3.343 -0.004 9.356 1.618 2.926" Properties=species:S:1:pos:R:3 comment="YPb2W | Alexandria via LeMat-Bulk | PBE-GGA | optimized geometry" magmom_total_mub_per_fu=0.00 delta_e_f_ev_per_atom=0.53 crystal_system=trigonal rho_g_cm3=11.70 pbc="T T T"
Pb 28.366 4.905 2.888
Pb 14.603 2.525 1.487
Y 21.485 3.715 2.188
W 7.162 1.238 0.729

6.
4
Lattice="5.267 -0.011 0.000 0.856 5.197 0.000 -3.061 -2.593 3.413" Properties=species:S:1:pos:R:3 comment="YPb2W | Alexandria via LeMat-Bulk | PBE-GGA | optimized geometry" magmom_total_mub_per_fu=0.71 delta_e_f_ev_per_atom=0.46 crystal_system=tetragonal rho_g_cm3=12.21 pbc="T T T"
W 0.428 2.599 1.706
Y 2.634 -0.006 1.706
Pb 0.000 0.000 0.000
Pb 3.061 2.593 0.000

7.
4
Lattice="5.322 0.000 0.000 0.000 3.299 -0.069 0.000 0.122 5.581" Properties=species:S:1:pos:R:3 comment="Y2PbW | Alexandria via LeMat-Bulk | PBE-GGA | optimized geometry" magmom_total_mub_per_fu=0.00 delta_e_f_ev_per_atom=0.25 crystal_system=orthorhombic rho_g_cm3=9.64 pbc="T T T"
W 2.661 2.160 4.473
Y 0.000 0.523 5.150
Y 2.661 0.453 1.766
Pb 0.000 2.117 2.460

8.
4
Lattice="10.476 0.000 0.000 9.923 3.359 0.000 9.923 1.634 2.935" Properties=species:S:1:pos:R:3 comment="Y2PbW | Alexandria via LeMat-Bulk | PBE-GGA | optimized geometry" magmom_total_mub_per_fu=1.48 delta_e_f_ev_per_atom=0.55 crystal_system=trigonal rho_g_cm3=9.14 pbc="T T T"
Pb 14.887 2.451 1.441
Y 7.418 1.221 0.718
Y 0.343 0.057 0.033
W 22.835 3.760 2.210

9.
8
Lattice="8.120 0.000 0.000 0.000 8.120 0.000 4.060 4.060 3.188" Properties=species:S:1:pos:R:3 comment="YPb2W | Alexandria via LeMat-Bulk | PBE-GGA | optimized geometry" magmom_total_mub_per_fu=1.00 delta_e_f_ev_per_atom=0.60 crystal_system=tetragonal rho_g_cm3=10.86 pbc="T T T"
Y 4.060 4.060 0.000
Y 4.060 8.120 1.594
Pb 6.090 5.843 2.391
Pb 6.338 2.030 0.797
Pb 10.150 10.398 2.391
Pb 1.783 6.090 0.797
W 8.120 4.060 1.594
W 0.000 0.000 0.000

10.
4
Lattice="-0.120 -2.027 -5.456 -3.993 -4.200 -0.558 0.639 5.619 1.382" Properties=species:S:1:pos:R:3 comment="YPb2W | Alexandria via LeMat-Bulk | PBE-GGA | optimized geometry" magmom_total_mub_per_fu=0.00 delta_e_f_ev_per_atom=0.42 crystal_system=orthorhombic rho_g_cm3=11.69 pbc="T T T"
W -0.769 0.240 -3.541
Pb -4.033 -6.105 -5.897
Pb -2.137 -3.235 -3.124
Y -2.705 -0.847 -1.091

11.
4
Lattice="-0.078 -4.367 1.823 4.157 -0.079 -0.013 0.042 1.601 3.837" Properties=species:S:1:pos:R:3 comment="YPbW2 | Alexandria via LeMat-Bulk | PBE-GGA | optimized geometry" magmom_total_mub_per_fu=0.00 delta_e_f_ev_per_atom=0.70 crystal_system=tetragonal rho_g_cm3=13.48 pbc="T T T"
W 2.099 0.761 1.912
W 0.000 0.000 0.000
Y 2.039 -2.223 0.905
Pb -0.018 -1.383 2.830

12.
4
Lattice="4.956 0.000 0.000 0.000 3.297 -0.002 0.000 0.422 5.938" Properties=species:S:1:pos:R:3 comment="YPb2W | Alexandria via LeMat-Bulk | PBE-GGA | optimized geometry" magmom_total_mub_per_fu=0.00 delta_e_f_ev_per_atom=0.46 crystal_system=monoclinic rho_g_cm3=11.76 pbc="T T T"
Pb 0.000 0.327 0.048
Pb 0.000 1.532 2.920
Y 2.478 2.789 4.452
W 2.478 0.930 1.484

13.
5
Lattice="5.406 0.000 0.000 0.000 5.406 0.000 0.000 0.000 5.406" Properties=species:S:1:pos:R:3 comment="YPb3W | Alexandria via LeMat-Bulk | PBE-GGA | optimized geometry" magmom_total_mub_per_fu=0.00 delta_e_f_ev_per_atom=0.68 crystal_system=cubic rho_g_cm3=9.40 pbc="T T T"
Pb 0.000 0.000 2.703
Pb 0.000 2.703 0.000
Pb 2.703 0.000 0.000
Y 2.703 2.703 2.703
W 0.000 0.000 0.000

14.
4
Lattice="3.142 0.015 0.000 -0.430 3.112 0.000 0.000 0.000 10.969" Properties=species:S:1:pos:R:3 comment="YPb2W | Alexandria via LeMat-Bulk | PBE-GGA | optimized geometry" magmom_total_mub_per_fu=0.00 delta_e_f_ev_per_atom=0.46 crystal_system=orthorhombic rho_g_cm3=10.63 pbc="T T T"
Y 1.356 1.564 7.841
Pb 0.000 0.000 10.634
Pb 1.356 1.564 3.329
W 0.000 0.000 5.618

15.
4
Lattice="-4.065 1.199 3.402 2.580 -4.273 2.150 1.857 1.705 2.402" Properties=species:S:1:pos:R:3 comment="YPb2W | Alexandria via LeMat-Bulk | PBE-GGA | optimized geometry" magmom_total_mub_per_fu=0.00 delta_e_f_ev_per_atom=0.56 crystal_system=monoclinic rho_g_cm3=11.89 pbc="T T T"
Y 2.218 -1.284 2.276
Pb -0.743 -1.537 2.776
Pb 0.000 0.000 0.000
W -1.104 1.452 2.902

16.
4
Lattice="-3.953 -2.354 2.565 2.166 -1.725 1.756 1.177 3.265 4.810" Properties=species:S:1:pos:R:3 comment="YPb2W | Alexandria via LeMat-Bulk | PBE-GGA | optimized geometry" magmom_total_mub_per_fu=0.00 delta_e_f_ev_per_atom=0.51 crystal_system=monoclinic rho_g_cm3=11.59 pbc="T T T"
W 1.264 1.090 2.948
Y 0.393 -0.022 5.994
Pb -0.735 -1.061 3.303
Pb 0.140 -0.051 0.169

17.
4
Lattice="4.559 -0.006 0.000 3.394 3.044 0.000 0.986 0.377 6.624" Properties=species:S:1:pos:R:3 comment="YPbW2 | Alexandria via LeMat-Bulk | PBE-GGA | optimized geometry" magmom_total_mub_per_fu=0.00 delta_e_f_ev_per_atom=0.54 crystal_system=monoclinic rho_g_cm3=11.97 pbc="T T T"
Y 4.485 1.714 3.138
Pb 6.685 2.555 5.254
W 7.931 3.030 0.311
W 2.260 0.864 1.236

18.
4
Lattice="3.241 0.000 0.000 -0.975 3.091 0.000 0.000 0.000 10.178" Properties=species:S:1:pos:R:3 comment="Y2PbW | Alexandria via LeMat-Bulk | PBE-GGA | optimized geometry" magmom_total_mub_per_fu=0.00 delta_e_f_ev_per_atom=0.51 crystal_system=orthorhombic rho_g_cm3=9.26 pbc="T T T"
Y 0.000 0.000 9.804
Y 1.133 1.546 2.724
W 1.133 1.546 7.535
Pb 0.000 0.000 5.383

19.
4
Lattice="-0.777 -3.541 0.532 3.490 -0.868 -0.682 1.608 0.742 7.282" Properties=species:S:1:pos:R:3 comment="YPb2W | Alexandria via LeMat-Bulk | PBE-GGA | optimized geometry" magmom_total_mub_per_fu=0.00 delta_e_f_ev_per_atom=0.46 crystal_system=tetragonal rho_g_cm3=11.35 pbc="T T T"
Y 2.513 -1.671 5.158
Pb 0.017 0.008 0.077
Pb 1.835 -1.984 2.088
W 0.762 0.352 3.450

20.
4
Lattice="3.086 0.006 0.000 -1.176 2.853 0.000 0.000 0.000 9.708" Properties=species:S:1:pos:R:3 comment="YPbW2 | Alexandria via LeMat-Bulk | PBE-GGA | optimized geometry" magmom_total_mub_per_fu=0.00 delta_e_f_ev_per_atom=0.50 crystal_system=orthorhombic rho_g_cm3=12.89 pbc="T T T"
Y 0.000 0.000 4.623
Pb 0.955 1.429 7.495
W 0.000 0.000 0.266
W 0.955 1.429 2.179

21.
4
Lattice="-0.034 -3.177 -4.460 2.344 -4.407 -2.252 -3.095 -4.027 1.091" Properties=species:S:1:pos:R:3 comment="YPbW2 | Alexandria via LeMat-Bulk | PBE-GGA | optimized geometry" magmom_total_mub_per_fu=0.00 delta_e_f_ev_per_atom=0.62 crystal_system=monoclinic rho_g_cm3=12.33 pbc="T T T"
W -0.635 -6.081 -2.702
W -2.852 -3.752 0.982
Y -0.196 -2.903 -1.405
Pb -0.588 -8.708 -4.216

22.
4
Lattice="5.798 0.000 0.000 2.340 5.305 0.000 -4.069 -2.653 3.166" Properties=species:S:1:pos:R:3 comment="Y2PbW | Alexandria via LeMat-Bulk | PBE-GGA | optimized geometry" magmom_total_mub_per_fu=0.00 delta_e_f_ev_per_atom=0.32 crystal_system=tetragonal rho_g_cm3=9.70 pbc="T T T"
Y 0.000 0.000 0.000
Y 1.170 2.653 1.583
Pb 4.069 2.653 0.000
W 2.899 0.000 1.583

23.
6
Lattice="-1.649 -0.015 6.069 -4.241 4.133 2.116 -5.729 -1.962 1.697" Properties=species:S:1:pos:R:3 comment="YPb4W | Alexandria via LeMat-Bulk | PBE-GGA | optimized geometry" magmom_total_mub_per_fu=2.76 delta_e_f_ev_per_atom=0.87 crystal_system=cubic rho_g_cm3=10.40 pbc="T T T"
Pb -5.183 0.802 6.735
Pb -4.361 0.809 3.709
Pb -6.475 2.870 4.764
Pb -7.217 -0.169 4.555
W -8.714 1.617 7.411
Y 0.000 0.000 0.000

24.
4
Lattice="3.631 0.000 0.000 0.000 3.651 0.008 0.000 3.633 7.595" Properties=species:S:1:pos:R:3 comment="Y2PbW | Alexandria via LeMat-Bulk | PBE-GGA | optimized geometry" magmom_total_mub_per_fu=0.00 delta_e_f_ev_per_atom=0.16 crystal_system=orthorhombic rho_g_cm3=9.39 pbc="T T T"
Pb 1.815 1.821 1.901
Y 0.000 3.634 7.379
Y 0.000 3.642 4.017
W 1.815 5.463 5.702

25.
4
Lattice="5.683 0.013 0.000 2.672 5.015 0.000 -4.177 -2.514 2.919" Properties=species:S:1:pos:R:3 comment="YPbW2 | Alexandria via LeMat-Bulk | PBE-GGA | optimized geometry" magmom_total_mub_per_fu=0.00 delta_e_f_ev_per_atom=0.77 crystal_system=tetragonal rho_g_cm3=13.26 pbc="T T T"
Y 1.336 2.508 1.460
Pb 2.841 0.006 1.460
W 0.000 0.000 0.000
W 4.177 2.514 0.000

26.
4
Lattice="5.712 -0.011 -0.009 2.455 5.157 0.009 -3.587 -3.361 2.909" Properties=species:S:1:pos:R:3 comment="YPbW2 | Alexandria via LeMat-Bulk | PBE-GGA | optimized geometry" magmom_total_mub_per_fu=0.00 delta_e_f_ev_per_atom=0.50 crystal_system=orthorhombic rho_g_cm3=12.84 pbc="T T T"
W 1.196 2.008 1.459
W 0.223 0.141 0.000
Pb 3.246 -0.310 1.450
Y 3.998 2.520 0.000

27.
5
Lattice="-3.975 2.912 0.213 -1.983 -2.956 3.415 2.144 2.667 3.553" Properties=species:S:1:pos:R:3 comment="YPbW3 | Alexandria via LeMat-Bulk | PBE-GGA | optimized geometry" magmom_total_mub_per_fu=0.00 delta_e_f_ev_per_atom=2.92 crystal_system=cubic rho_g_cm3=11.73 pbc="T T T"
W -1.988 1.456 0.106
W -0.991 -1.478 1.707
W 1.072 1.333 1.776
Y 0.000 0.000 0.000
Pb -1.907 1.312 3.590

28.
4
Lattice="4.903 0.000 0.000 0.000 4.905 0.000 0.000 0.000 4.058" Properties=species:S:1:pos:R:3 comment="Y2PbW | Alexandria via LeMat-Bulk | PBE-GGA | optimized geometry" magmom_total_mub_per_fu=0.87 delta_e_f_ev_per_atom=0.25 crystal_system=tetragonal rho_g_cm3=9.68 pbc="T T T"
Y 0.000 0.000 0.000
Y 2.452 2.452 0.000
Pb 2.452 0.000 2.029
W 0.000 2.452 2.029

29.
4
Lattice="-3.526 3.070 -1.309 -4.070 0.288 2.632 -0.889 3.957 2.670" Properties=species:S:1:pos:R:3 comment="YPbW2 | Alexandria via LeMat-Bulk | PBE-GGA | optimized geometry" magmom_total_mub_per_fu=0.00 delta_e_f_ev_per_atom=0.65 crystal_system=cubic rho_g_cm3=13.62 pbc="T T T"
Pb -4.243 3.657 1.996
W 0.000 0.000 0.000
W -6.364 5.486 2.995
Y -2.121 1.829 0.998

30.
4
Lattice="10.271 0.022 0.013 9.797 3.086 0.013 9.797 1.517 2.688" Properties=species:S:1:pos:R:3 comment="YPbW2 | Alexandria via LeMat-Bulk | PBE-GGA | optimized geometry" magmom_total_mub_per_fu=0.00 delta_e_f_ev_per_atom=1.07 crystal_system=trigonal rho_g_cm3=13.09 pbc="T T T"
W 0.046 0.007 0.004
W 14.886 2.306 1.352
Y 7.466 1.156 0.678
Pb 22.398 3.469 2.035